Entry 1:
{"formula": "Pa4Ga12Hg", "functional": "PBE", "state": "relaxed", "cell": [[-6.768, 2.226, 2.587], [2.935, -5.158, 4.715], [4.640, 5.980, -0.408]], "species": ["Pa", "Pa", "Pa", "Pa", "Ga", "Ga", "Ga", "Ga", "Ga", "Ga", "Ga", "Ga", "Ga", "Ga", "Ga", "Ga", "Hg"], "fractional_positions": [[0.000, 0.000, 0.500], [0.500, 0.000, 0.000], [0.500, 0.500, 0.500], [0.000, 0.500, 0.000], [0.000, 0.310, 0.310], [0.000, 0.690, 0.690], [0.690, 0.690, 0.000], [0.310, 0.310, 0.000], [0.310, 0.000, 0.310], [0.690, 0.000, 0.690], [0.500, 0.250, 0.750], [0.500, 0.750, 0.250], [0.750, 0.250, 0.500], [0.250, 0.750, 0.500], [0.750, 0.500, 0.250], [0.250, 0.500, 0.750], [0.000, 0.000, 0.000]], "formation_enthalpy_0k_ev_per_atom": -0.295, "energy_ev_per_cell": -79.6, "dos_at_fermi_per_ev_fu": 20.3}

---

Entry 2:
{"formula": "PaGaHg", "functional": "PBE", "state": "relaxed", "cell": [[3.143, 0.000, 0.000], [0.000, 3.143, 0.000], [-1.572, -1.572, 6.745]], "species": ["Pa", "Hg", "Ga"], "fractional_positions": [[0.608, 0.608, 0.216], [0.292, 0.292, 0.583], [0.950, 0.950, 0.901]], "formation_enthalpy_0k_ev_per_atom": 0.016, "energy_ev_per_cell": -12.8, "dos_at_fermi_per_ev_fu": 4.1}

---

Entry 3:
{"formula": "PaGaHg2", "functional": "PBE", "state": "relaxed", "cell": [[3.168, 0.000, 0.000], [1.584, 2.743, 0.000], [1.584, 0.914, 11.407]], "species": ["Pa", "Hg", "Hg", "Ga"], "fractional_positions": [[0.000, 0.000, 0.000], [0.093, 0.093, 0.722], [0.907, 0.907, 0.278], [0.500, 0.500, 0.500]], "formation_enthalpy_0k_ev_per_atom": 0.258, "energy_ev_per_cell": -12.1, "dos_at_fermi_per_ev_fu": 4.6}